Record 1
{"formula": "CeTmScSe3", "functional": "PBE", "state": "relaxed", "lattice_angstrom": [[7.949, 0.000, 0.000], [0.000, 3.998, 0.000], [-2.529, 0.000, 9.445]], "species": ["Ce", "Ce", "Tm", "Tm", "Sc", "Sc", "Se", "Se", "Se", "Se", "Se", "Se"], "frac_coords": [[0.191, 0.250, 0.217], [0.809, 0.750, 0.783], [0.333, 0.750, 0.905], [0.667, 0.250, 0.095], [0.152, 0.250, 0.618], [0.848, 0.750, 0.382], [0.089, 0.250, 0.885], [0.209, 0.750, 0.456], [0.487, 0.750, 0.203], [0.513, 0.250, 0.797], [0.791, 0.250, 0.544], [0.911, 0.750, 0.115]], "final_energy_ev_per_atom": -6.095, "space_group": "P2_1/m, No. 11"}

***

Record 2
{"formula": "Ti2Sb2O7", "functional": "PBE", "state": "relaxed", "lattice_angstrom": [[7.800, 0.000, 0.000], [0.000, 5.737, 0.000], [-1.877, 0.000, 13.113]], "species": ["Ti", "Ti", "Ti", "Ti", "Ti", "Ti", "Ti", "Ti", "Sb", "Sb", "Sb", "Sb", "Sb", "Sb", "Sb", "Sb", "O", "O", "O", "O", "O", "O", "O", "O", "O", "O", "O", "O", "O", "O", "O", "O", "O", "O", "O", "O", "O", "O", "O", "O", "O", "O", "O", "O"], "frac_coords": [[0.025, 0.000, 0.124], [0.059, 0.501, 0.317], [0.406, 0.995, 0.667], [0.461, 0.497, 0.879], [0.539, 0.997, 0.121], [0.594, 0.495, 0.333], [0.941, 0.001, 0.683], [0.975, 0.500, 0.876], [0.138, 0.487, 0.559], [0.228, 0.955, 0.929], [0.301, 0.435, 0.136], [0.356, 0.896, 0.403], [0.644, 0.396, 0.597], [0.699, 0.935, 0.864], [0.772, 0.455, 0.071], [0.862, 0.987, 0.441], [0.025, 0.827, 0.001], [0.048, 0.780, 0.216], [0.090, 0.751, 0.427], [0.103, 0.288, 0.210], [0.113, 0.298, 0.429], [0.177, 0.976, 0.694], [0.221, 0.590, 0.886], [0.274, 0.079, 0.087], [0.336, 0.579, 0.327], [0.379, 0.278, 0.591], [0.389, 0.793, 0.554], [0.448, 0.251, 0.803], [0.481, 0.852, 0.987], [0.496, 0.767, 0.780], [0.504, 0.267, 0.220], [0.519, 0.352, 0.013], [0.552, 0.751, 0.197], [0.611, 0.293, 0.446], [0.621, 0.778, 0.409], [0.664, 0.079, 0.673], [0.726, 0.579, 0.913], [0.779, 0.090, 0.114], [0.823, 0.476, 0.306], [0.887, 0.798, 0.571], [0.897, 0.788, 0.790], [0.910, 0.251, 0.573], [0.952, 0.280, 0.784], [0.975, 0.327, 0.999]], "final_energy_ev_per_atom": -7.537, "space_group": "P2_1, No. 4"}

***

Record 3
{"formula": "Pm5Sm2Y12", "functional": "PBE", "state": "relaxed", "lattice_angstrom": [[7.831, -4.703, 0.000], [7.831, 4.703, 0.000], [-0.321, 0.000, 8.710]], "species": ["Pm", "Pm", "Pm", "Pm", "Pm", "Sm", "Sm", "Y", "Y", "Y", "Y", "Y", "Y", "Y", "Y", "Y", "Y", "Y", "Y"], "frac_coords": [[0.000, 0.000, 0.000], [0.230, 0.230, 0.072], [0.295, 0.295, 0.481], [0.705, 0.705, 0.519], [0.770, 0.770, 0.928], [0.326, 0.674, 0.500], [0.674, 0.326, 0.500], [0.030, 0.673, 0.261], [0.076, 0.076, 0.374], [0.181, 0.561, 0.837], [0.327, 0.970, 0.739], [0.439, 0.819, 0.163], [0.443, 0.443, 0.167], [0.557, 0.557, 0.833], [0.561, 0.181, 0.837], [0.673, 0.030, 0.261], [0.819, 0.439, 0.163], [0.924, 0.924, 0.626], [0.970, 0.327, 0.739]], "polymorph_energy_ev_per_atom": 0.103, "space_group": "C2/m, No. 12"}

***

Record 4
{"formula": "AlHgOs2", "functional": "PBE", "state": "relaxed", "lattice_angstrom": [[9.194, 0.000, 0.000], [0.000, 2.912, 0.000], [-0.901, 0.000, 4.749]], "species": ["Al", "Al", "Hg", "Hg", "Os", "Os", "Os", "Os"], "frac_coords": [[0.000, 0.000, 0.000], [0.500, 0.500, 0.000], [0.262, 0.500, 0.253], [0.762, 0.000, 0.253], [0.023, 0.500, 0.551], [0.261, 0.000, 0.748], [0.523, 0.000, 0.551], [0.761, 0.500, 0.748]], "polymorph_energy_ev_per_atom": 0.237, "space_group": "Cm, No. 8"}

***

Record 5
{"formula": "Y3BiPt", "functional": "PBE", "state": "relaxed", "lattice_angstrom": [[3.881, -7.365, 0.000], [3.881, 7.365, 0.000], [0.000, 0.000, 5.216]], "species": ["Y", "Y", "Y", "Y", "Y", "Y", "Bi", "Bi", "Pt", "Pt"], "frac_coords": [[0.000, 0.500, 0.500], [0.135, 0.865, 0.000], [0.303, 0.303, 0.500], [0.500, 0.000, 0.500], [0.697, 0.697, 0.500], [0.865, 0.135, 0.000], [0.360, 0.640, 0.000], [0.640, 0.360, 0.000], [0.100, 0.900, 0.500], [0.900, 0.100, 0.500]], "polymorph_energy_ev_per_atom": 0.000, "space_group": "Cmmm, No. 65"}

***

Record 6
{"formula": "HoTiAs2", "functional": "PBE", "state": "relaxed", "lattice_angstrom": [[3.813, 0.000, 0.000], [-1.906, 3.302, 0.000], [0.000, 0.000, 19.848]], "species": ["Ho", "Ho", "Ho", "Ti", "Ti", "Ti", "As", "As", "As", "As", "As", "As"], "frac_coords": [[0.000, 0.000, 0.000], [0.333, 0.667, 0.667], [0.667, 0.333, 0.333], [0.000, 0.000, 0.174], [0.333, 0.667, 0.841], [0.667, 0.333, 0.508], [0.000, 0.000, 0.576], [0.000, 0.000, 0.764], [0.333, 0.667, 0.242], [0.333, 0.667, 0.430], [0.667, 0.333, 0.097], [0.667, 0.333, 0.909]], "polymorph_energy_ev_per_atom": 0.084, "space_group": "R3m, No. 160"}

***

Record 7
{"formula": "Mn2InTeP", "functional": "PBE", "state": "relaxed", "lattice_angstrom": [[4.702, 0.000, 0.000], [0.000, 4.702, 0.000], [0.000, 0.000, 5.413]], "species": ["Mn", "Mn", "In", "Te", "P"], "frac_coords": [[0.000, 0.500, 0.000], [0.500, 0.000, 0.000], [0.000, 0.000, 0.500], [0.500, 0.500, 0.500], [0.000, 0.000, 0.000]], "final_energy_ev_per_atom": -5.682, "space_group": "P4/mmm, No. 123"}

***

Record 8
{"formula": "CeTmSc2Se4", "functional": "PBE", "state": "relaxed", "lattice_angstrom": [[6.925, 0.000, 0.000], [0.000, 3.964, 0.000], [-2.265, 0.000, 6.562]], "species": ["Ce", "Tm", "Sc", "Sc", "Se", "Se", "Se", "Se"], "frac_coords": [[0.000, 0.000, 0.000], [0.000, 0.500, 0.500], [0.500, 0.000, 0.500], [0.500, 0.500, 0.000], [0.265, 0.000, 0.747], [0.271, 0.500, 0.265], [0.729, 0.500, 0.735], [0.735, 0.000, 0.253]], "final_energy_ev_per_atom": -6.285, "space_group": "P2/m, No. 10"}

***

Record 9
{"formula": "CaReGe2", "functional": "PBE", "state": "relaxed", "lattice_angstrom": [[6.531, 0.000, 0.000], [0.000, 6.531, 0.000], [0.000, 0.000, 6.531]], "species": ["Ca", "Ca", "Ca", "Ca", "Re", "Re", "Re", "Re", "Ge", "Ge", "Ge", "Ge", "Ge", "Ge", "Ge", "Ge"], "frac_coords": [[0.000, 0.000, 0.000], [0.000, 0.500, 0.500], [0.500, 0.000, 0.500], [0.500, 0.500, 0.000], [0.000, 0.000, 0.500], [0.000, 0.500, 0.000], [0.500, 0.000, 0.000], [0.500, 0.500, 0.500], [0.250, 0.250, 0.250], [0.250, 0.250, 0.750], [0.250, 0.750, 0.250], [0.250, 0.750, 0.750], [0.750, 0.250, 0.250], [0.750, 0.250, 0.750], [0.750, 0.750, 0.250], [0.750, 0.750, 0.750]], "polymorph_energy_ev_per_atom": 0.087, "space_group": "Fm-3m, No. 225"}

***

Record 10
{"formula": "VB3W", "functional": "PBE", "state": "relaxed", "lattice_angstrom": [[3.804, 0.000, 0.000], [0.000, 3.804, 0.000], [0.000, 0.000, 3.804]], "species": ["V", "B", "B", "B", "W"], "frac_coords": [[0.000, 0.000, 0.000], [0.000, 0.000, 0.500], [0.000, 0.500, 0.000], [0.500, 0.000, 0.000], [0.500, 0.500, 0.500]], "polymorph_energy_ev_per_atom": 1.750, "space_group": "Pm-3m, No. 221"}

***

Record 11
{"formula": "Tl3HgRh", "functional": "PBE", "state": "relaxed", "lattice_angstrom": [[5.319, 0.000, 0.000], [0.000, 5.319, 0.000], [0.000, 0.000, 5.319]], "species": ["Tl", "Tl", "Tl", "Hg", "Rh"], "frac_coords": [[0.000, 0.000, 0.500], [0.000, 0.500, 0.000], [0.500, 0.000, 0.000], [0.500, 0.500, 0.500], [0.000, 0.000, 0.000]], "polymorph_energy_ev_per_atom": 0.000, "space_group": "Pm-3m, No. 221"}

***

Record 12
{"formula": "K6Mn2P", "functional": "PBE", "state": "relaxed", "lattice_angstrom": [[4.368, -7.554, 0.000], [4.368, 7.554, 0.000], [0.000, 0.000, 13.020]], "species": ["K", "K", "K", "K", "K", "K", "K", "K", "K", "K", "K", "K", "Mn", "Mn", "Mn", "Mn", "P", "P"], "frac_coords": [[0.005, 0.510, 0.500], [0.005, 0.995, 0.500], [0.194, 0.347, 0.750], [0.347, 0.194, 0.250], [0.347, 0.653, 0.251], [0.490, 0.995, 0.500], [0.510, 0.005, 0.000], [0.653, 0.347, 0.751], [0.653, 0.806, 0.750], [0.806, 0.653, 0.250], [0.995, 0.005, 0.000], [0.995, 0.490, 0.000], [0.167, 0.833, 0.752], [0.500, 0.500, 0.002], [0.500, 0.500, 0.502], [0.833, 0.167, 0.252], [0.167, 0.833, 0.353], [0.833, 0.167, 0.853]], "final_energy_ev_per_atom": -2.822, "space_group": "Cmc2_1, No. 36"}

***

Record 13
{"formula": "BaZnP2O", "functional": "PBE", "state": "relaxed", "lattice_angstrom": [[6.773, 0.000, 0.000], [0.000, 6.773, 0.000], [0.000, 0.000, 4.656]], "species": ["Ba", "Zn", "P", "P", "O"], "frac_coords": [[0.000, 0.000, 0.000], [0.500, 0.500, 0.500], [0.000, 0.500, 0.000], [0.500, 0.000, 0.000], [0.000, 0.000, 0.500]], "polymorph_energy_ev_per_atom": 1.023, "space_group": "P4/mmm, No. 123"}

***

Record 14
{"formula": "LiPuCdGa", "functional": "PBE", "state": "relaxed", "lattice_angstrom": [[3.132, 0.000, 0.000], [0.000, 3.132, 0.000], [0.000, 0.000, 8.130]], "species": ["Li", "Pu", "Cd", "Ga"], "frac_coords": [[0.000, 0.000, 0.000], [0.000, 0.000, 0.462], [0.500, 0.500, 0.776], [0.500, 0.500, 0.191]], "polymorph_energy_ev_per_atom": 0.000, "space_group": "P4mm, No. 99"}

***

Record 15
{"formula": "Ce2PaFe9", "functional": "PBE", "state": "relaxed", "lattice_angstrom": [[2.476, 1.430, 8.418], [-2.476, 1.430, 8.418], [0.000, -2.859, 8.418]], "species": ["Ce", "Ce", "Pa", "Fe", "Fe", "Fe", "Fe", "Fe", "Fe", "Fe", "Fe", "Fe"], "frac_coords": [[0.143, 0.143, 0.143], [0.857, 0.857, 0.857], [0.000, 0.000, 0.000], [0.082, 0.581, 0.581], [0.333, 0.333, 0.333], [0.419, 0.419, 0.918], [0.419, 0.918, 0.419], [0.500, 0.500, 0.500], [0.581, 0.082, 0.581], [0.581, 0.581, 0.082], [0.667, 0.667, 0.667], [0.918, 0.419, 0.419]], "final_energy_ev_per_atom": -8.192, "space_group": "R-3m, No. 166"}

***

Record 16
{"formula": "PrSmTlZn", "functional": "PBE", "state": "relaxed", "lattice_angstrom": [[3.761, 0.000, 0.000], [0.000, 3.761, 0.000], [0.000, 0.000, 7.719]], "species": ["Pr", "Sm", "Tl", "Zn"], "frac_coords": [[0.000, 0.000, 0.000], [0.000, 0.000, 0.545], [0.500, 0.500, 0.280], [0.500, 0.500, 0.763]], "polymorph_energy_ev_per_atom": 0.000, "space_group": "P4mm, No. 99"}

***

Record 17
{"formula": "TaCdSn3", "functional": "PBE", "state": "relaxed", "lattice_angstrom": [[5.419, 0.000, 0.000], [0.000, 5.419, 0.000], [0.000, 0.000, 5.419]], "species": ["Ta", "Cd", "Sn", "Sn", "Sn"], "frac_coords": [[0.000, 0.000, 0.000], [0.500, 0.500, 0.500], [0.000, 0.000, 0.500], [0.000, 0.500, 0.000], [0.500, 0.000, 0.000]], "polymorph_energy_ev_per_atom": 0.000, "space_group": "Pm-3m, No. 221"}

***

Record 18
{"formula": "BPd8Au2", "functional": "PBE", "state": "relaxed", "lattice_angstrom": [[5.783, -3.694, 0.000], [5.783, 3.694, 0.000], [-1.852, 0.000, 4.344]], "species": ["B", "Pd", "Pd", "Pd", "Pd", "Pd", "Pd", "Pd", "Pd", "Au", "Au"], "frac_coords": [[0.000, 0.000, 0.000], [0.117, 0.733, 0.191], [0.267, 0.883, 0.809], [0.300, 0.300, 0.046], [0.432, 0.432, 0.682], [0.568, 0.568, 0.318], [0.700, 0.700, 0.954], [0.733, 0.117, 0.191], [0.883, 0.267, 0.809], [0.172, 0.172, 0.424], [0.828, 0.828, 0.576]], "polymorph_energy_ev_per_atom": 0.202, "space_group": "C2/m, No. 12"}

***

Record 19
{"formula": "Zr2RhW", "functional": "PBE", "state": "relaxed", "lattice_angstrom": [[3.392, 0.000, 0.000], [0.000, 4.966, 0.000], [0.000, 0.000, 8.756]], "species": ["Zr", "Zr", "Zr", "Zr", "Rh", "Rh", "W", "W"], "frac_coords": [[0.000, 0.000, 0.243], [0.000, 0.000, 0.757], [0.500, 0.500, 0.257], [0.500, 0.500, 0.743], [0.000, 0.500, 0.500], [0.500, 0.000, 0.000], [0.000, 0.500, 0.000], [0.500, 0.000, 0.500]], "polymorph_energy_ev_per_atom": 0.292, "space_group": "Immm, No. 71"}

***

Record 20
{"formula": "LaHf3Se", "functional": "PBE", "state": "relaxed", "lattice_angstrom": [[5.084, 0.000, 0.000], [0.000, 5.084, 0.000], [0.000, 0.000, 5.084]], "species": ["La", "Hf", "Hf", "Hf", "Se"], "frac_coords": [[0.000, 0.000, 0.000], [0.000, 0.500, 0.500], [0.500, 0.000, 0.500], [0.500, 0.500, 0.000], [0.500, 0.500, 0.500]], "polymorph_energy_ev_per_atom": 0.000, "space_group": "Pm-3m, No. 221"}

***

Record 21
{"formula": "Sr2TlSb3Pd4", "functional": "PBE", "state": "relaxed", "lattice_angstrom": [[4.687, 0.000, 0.000], [0.000, 4.687, 0.000], [0.000, 0.000, 10.966]], "species": ["Sr", "Sr", "Tl", "Sb", "Sb", "Sb", "Pd", "Pd", "Pd", "Pd"], "frac_coords": [[0.000, 0.500, 0.239], [0.500, 0.000, 0.761], [0.000, 0.000, 0.500], [0.000, 0.500, 0.876], [0.500, 0.000, 0.124], [0.500, 0.500, 0.500], [0.000, 0.000, 0.000], [0.000, 0.500, 0.637], [0.500, 0.000, 0.363], [0.500, 0.500, 0.000]], "final_energy_ev_per_atom": -4.592, "space_group": "P-4m2, No. 115"}

***

Record 22
{"formula": "CeLu2Tc", "functional": "PBE", "state": "relaxed", "lattice_angstrom": [[7.138, 0.000, 0.000], [0.000, 7.138, 0.000], [0.000, 0.000, 7.138]], "species": ["Ce", "Ce", "Ce", "Ce", "Lu", "Lu", "Lu", "Lu", "Lu", "Lu", "Lu", "Lu", "Tc", "Tc", "Tc", "Tc"], "frac_coords": [[0.000, 0.000, 0.000], [0.000, 0.500, 0.500], [0.500, 0.000, 0.500], [0.500, 0.500, 0.000], [0.250, 0.250, 0.250], [0.250, 0.250, 0.750], [0.250, 0.750, 0.250], [0.250, 0.750, 0.750], [0.750, 0.250, 0.250], [0.750, 0.250, 0.750], [0.750, 0.750, 0.250], [0.750, 0.750, 0.750], [0.000, 0.000, 0.500], [0.000, 0.500, 0.000], [0.500, 0.000, 0.000], [0.500, 0.500, 0.500]], "polymorph_energy_ev_per_atom": 0.156, "space_group": "Fm-3m, No. 225"}

***

Record 23
{"formula": "K2In2AgTe4", "functional": "PBE", "state": "relaxed", "lattice_angstrom": [[8.345, -2.442, 0.000], [8.345, 2.442, 0.000], [-2.058, 0.000, 7.854]], "species": ["K", "K", "In", "In", "Ag", "Te", "Te", "Te", "Te"], "frac_coords": [[0.120, 0.120, 0.056], [0.880, 0.880, 0.944], [0.342, 0.342, 0.489], [0.658, 0.658, 0.511], [0.000, 0.000, 0.500], [0.213, 0.213, 0.700], [0.491, 0.491, 0.743], [0.509, 0.509, 0.257], [0.787, 0.787, 0.300]], "final_energy_ev_per_atom": -3.044, "space_group": "C2/m, No. 12"}